# AsRu2PtF

A geometry-optimized AsRu2PtF structure (GGA-PBE, the Alexandria database).

Cell lengths 4.621, 4.621, 3.871 Å; angles 90.00, 90.00, 90.00 degrees
Space group P4/mmm (No. 123)
Inequivalent atoms, fractional coordinates:
As 0.000 0.000 0.000 (multiplicity 1)
Ru 0.000 0.500 0.000 (multiplicity 2)
Pt 0.500 0.500 0.500 (multiplicity 1)
F 0.000 0.000 0.500 (multiplicity 1)

Summary:
* uncorrected energy: -5.725 eV/atom


# ScCo3Sb

A geometry-optimized ScCo3Sb structure (GGA-PBE, the Alexandria database).

Cell lengths 4.603, 4.603, 4.603 Å; angles 90.00, 90.00, 90.00 degrees
Space group Pm-3m (No. 221)
Inequivalent atoms, fractional coordinates:
Sc 0.000 0.000 0.000 (multiplicity 1)
Co 0.000 0.500 0.500 (multiplicity 3)
Sb 0.500 0.500 0.500 (multiplicity 1)

Summary:
* uncorrected energy: -5.643 eV/atom
* energy relative to the lowest polymorph listed for this composition: 0.000 eV/atom


# TiI2BrN

A geometry-optimized TiI2BrN structure (GGA-PBE, the Alexandria database).

Cell lengths 6.239, 6.239, 3.732 Å; angles 90.00, 90.00, 90.00 degrees
Space group P4/mmm (No. 123)
Inequivalent atoms, fractional coordinates:
Ti 0.000 0.000 0.000 (multiplicity 1)
I 0.000 0.500 0.500 (multiplicity 2)
Br 0.500 0.500 0.500 (multiplicity 1)
N 0.500 0.500 0.000 (multiplicity 1)

Summary:
* uncorrected energy: -2.921 eV/atom
* energy relative to the lowest polymorph listed for this composition: 1.257 eV/atom